[1]
Compound: BaSnF4
Source: the Alexandria database
Functional: GGA-PBE
Structure: optimized geometry

abc: 4.533 7.561 7.081
angles: 90.00 96.73 90.00
Positions (direct):
Ba 0.239 0.250 0.466
Ba 0.761 0.750 0.534
Sn 0.181 0.750 0.075
Sn 0.819 0.250 0.925
F 0.207 0.570 0.317
F 0.207 0.930 0.317
F 0.300 0.750 0.715
F 0.345 0.250 0.849
F 0.655 0.750 0.151
F 0.700 0.250 0.285
F 0.793 0.070 0.683
F 0.793 0.430 0.683

[2]
Compound: Ba2SnF
Source: the Alexandria database
Functional: GGA-PBE
Structure: optimized geometry

abc: 7.099 6.887 13.149
angles: 90.00 116.88 90.00
Positions (direct):
Ba 0.003 0.237 0.418
Ba 0.003 0.763 0.918
Ba 0.323 0.224 0.850
Ba 0.323 0.776 0.350
Ba 0.677 0.224 0.650
Ba 0.677 0.776 0.150
Ba 0.997 0.237 0.082
Ba 0.997 0.763 0.582
Sn 0.471 0.283 0.356
Sn 0.471 0.717 0.856
Sn 0.529 0.283 0.144
Sn 0.529 0.717 0.644
F 0.028 0.143 0.631
F 0.028 0.857 0.131
F 0.972 0.143 0.869
F 0.972 0.857 0.369

[3]
Compound: BaSnF4
Source: the Alexandria database
Functional: GGA-PBE
Structure: optimized geometry

abc: 4.430 4.430 11.346
angles: 90.00 90.00 90.00
Positions (direct):
Ba 0.250 0.250 0.131
Ba 0.750 0.750 0.869
Sn 0.250 0.250 0.632
Sn 0.750 0.750 0.368
F 0.250 0.250 0.817
F 0.250 0.750 0.000
F 0.250 0.750 0.312
F 0.250 0.750 0.688
F 0.750 0.250 0.000
F 0.750 0.250 0.312
F 0.750 0.250 0.688
F 0.750 0.750 0.183

[4]
Compound: BaSn2F2
Source: the Alexandria database
Functional: GGA-PBE
Structure: optimized geometry

abc: 8.585 8.585 4.682
angles: 90.00 90.00 90.00
Positions (direct):
Ba 0.000 0.000 0.000
Ba 0.500 0.500 0.000
Sn 0.117 0.383 0.000
Sn 0.383 0.883 0.000
Sn 0.617 0.117 0.000
Sn 0.883 0.617 0.000
F 0.144 0.356 0.500
F 0.356 0.856 0.500
F 0.644 0.144 0.500
F 0.856 0.644 0.500

[5]
Compound: Ba2SnF
Source: the Alexandria database
Functional: GGA-PBE
Structure: optimized geometry

abc: 7.212 7.212 7.212
angles: 111.75 111.75 105.01
Positions (direct):
Ba 0.046 0.625 0.921
Ba 0.375 0.296 0.421
Ba 0.704 0.125 0.079
Ba 0.875 0.954 0.579
Sn 0.250 0.750 0.500
Sn 0.500 0.500 0.000
F 0.000 0.000 0.000
F 0.750 0.250 0.500

[6]
Compound: Ba2SnF
Source: the Alexandria database
Functional: GGA-PBE
Structure: optimized geometry

abc: 5.803 5.803 5.803
angles: 60.00 60.00 60.00
Positions (direct):
Ba 0.250 0.250 0.250
Ba 0.750 0.750 0.750
Sn 0.000 0.000 0.000
F 0.500 0.500 0.500

[7]
Compound: Ba4Sn2F
Source: the Alexandria database
Functional: GGA-PBE
Structure: optimized geometry

abc: 7.347 7.952 10.416
angles: 90.00 110.12 90.00
Positions (direct):
Ba 0.175 0.250 0.068
Ba 0.252 0.501 0.731
Ba 0.252 0.999 0.731
Ba 0.295 0.750 0.362
Ba 0.705 0.250 0.638
Ba 0.748 0.001 0.269
Ba 0.748 0.499 0.269
Ba 0.825 0.750 0.932
Sn 0.202 0.250 0.420
Sn 0.354 0.750 0.034
Sn 0.646 0.250 0.966
Sn 0.798 0.750 0.580
F 0.072 0.250 0.796
F 0.928 0.750 0.204

[8]
Compound: Ba2Sn2F
Source: the Alexandria database
Functional: GGA-PBE
Structure: optimized geometry

abc: 9.191 9.191 4.667
angles: 90.00 90.00 90.00
Positions (direct):
Ba 0.190 0.310 0.000
Ba 0.310 0.810 0.000
Ba 0.690 0.190 0.000
Ba 0.810 0.690 0.000
Sn 0.104 0.604 0.500
Sn 0.396 0.104 0.500
Sn 0.604 0.896 0.500
Sn 0.896 0.396 0.500
F 0.000 0.000 0.500
F 0.500 0.500 0.500

[9]
Compound: BaTc2SnF
Source: the Alexandria database
Functional: GGA-PBE
Structure: optimized geometry

abc: 5.539 5.539 4.636
angles: 90.00 90.00 90.00
Positions (direct):
Ba 0.000 0.000 0.000
Tc 0.000 0.500 0.000
Tc 0.500 0.000 0.000
Sn 0.500 0.500 0.500
F 0.000 0.000 0.500

[10]
Compound: Ba2TcSnF
Source: the Alexandria database
Functional: GGA-PBE
Structure: optimized geometry

abc: 5.337 5.337 5.130
angles: 90.00 90.00 90.00
Positions (direct):
Ba 0.000 0.500 0.000
Ba 0.500 0.000 0.000
Tc 0.000 0.000 0.500
Sn 0.500 0.500 0.500
F 0.500 0.500 0.000

[11]
Compound: BaTlSn2F
Source: the Alexandria database
Functional: GGA-PBE
Structure: optimized geometry

abc: 5.144 5.144 5.440
angles: 90.00 90.00 90.00
Positions (direct):
Ba 0.000 0.000 0.000
Tl 0.500 0.500 0.000
Sn 0.000 0.500 0.500
Sn 0.500 0.000 0.500
F 0.500 0.500 0.500

Sequential volume output: 20.09, 35.84, 18.56, 34.51, 35.94, 34.54, 40.82, 39.43, 28.45, 29.22, 28.79 A^3/atom
Sequential calculated total energy output: -63.12, -66.16, -64.02, -39.35, -32.24, -14.92, -52.15, -36.80, -22.87, -21.93, -17.88 eV per cell